# MoPSe2Br

MoPSe2Br after structural relaxation (PBE, the Alexandria database).

Properties
* calculated density: 5.12 g cm⁻³
* distance to the lowest polymorph of the same formula: 0.246 eV per atom

a b c (Å): 4.9539 4.9539 4.8215
angles (deg): 90.00 90.00 90.00
Last column: nearest neighbours and their distance in Å.
Positions (direct):
P1 0.0000 0.0000 0.0000  2 Br 2.41, 4 Se 2.48
Se1 0.5000 0.0000 0.0000  2 P 2.48
Se2 0.0000 0.5000 0.0000  2 P 2.48
Mo1 0.5000 0.5000 0.5000  8 Se 3.46, 4 Br 3.50
Br1 0.0000 0.0000 0.5000  2 P 2.41